(P)
Density functional theory data (GGA-PBE) for a geometry-optimized Y2AsN structure.

Cell: 4.7491 4.7491 4.7491 Å, 60.00 60.00 60.00°
Positions (direct):
As (0.5000, 0.5000, 0.5000)
Y (0.7500, 0.7500, 0.7500)
Y (0.2500, 0.2500, 0.2500)
N (0.0000, 0.0000, 0.0000)

- Crystal system: cubic
- Total moment: 0.0 μB per cell

(Q)
Density functional theory data (GGA-PBE) for a geometry-optimized Y2AsN structure.

Cell: 3.6846 3.6846 7.0660 Å, 74.89 74.89 60.00°
Positions (direct):
N (0.4972, 0.4972, 0.5083)
Y (0.0937, 0.0937, 0.7190)
Y (0.2421, 0.2421, 0.2738)
As (0.6671, 0.6671, 0.9988)

- Crystal system: trigonal
- Total moment: 0.0 μB per cell

Which of them is the most stable? Correct choice: (Q).

(P)
Density functional theory data (GGA-PBE) for a geometry-optimized Y2AsN structure.

Cell: 3.7341 3.7341 6.7624 Å, 73.97 73.97 60.00°
Positions (direct):
As (0.0000, 0.0000, 0.0000)
Y (0.7631, 0.7631, 0.7108)
N (0.5000, 0.5000, 0.5000)
Y (0.2369, 0.2369, 0.2892)

- Crystal system: trigonal
- Total moment: 0.0 μB per cell

(Q)
Density functional theory data (GGA-PBE) for a geometry-optimized Y2AsN structure.

Cell: 6.6686 6.6686 6.1261 Å, 57.02 57.02 90.00°
Positions (direct):
As (0.7500, 0.2500, 0.5000)
Y (0.5539, 0.1250, 0.2500)
Y (0.8750, 0.8039, 0.7500)
N (0.5000, 0.5000, 0.0000)
Y (0.3750, 0.4461, 0.7500)
Y (0.1961, 0.6250, 0.2500)
As (0.0000, 0.0000, 0.0000)
N (0.2500, 0.7500, 0.5000)

- Crystal system: tetragonal
- Total moment: 0.0 μB per cell

Which of them is the most stable? Correct choice: (P).

(P)
Density functional theory data (GGA-PBE) for a geometry-optimized YAs2N2 structure.

Cell: 4.2965 4.2965 5.2082 Å, 65.64 65.64 90.00°
Positions (direct):
N (0.7500, 0.2500, 0.5000)
As (0.6752, 0.6752, 0.6497)
N (0.2500, 0.7500, 0.5000)
Y (0.0000, 0.0000, 0.0000)
As (0.3248, 0.3248, 0.3503)

- Crystal system: tetragonal
- Total moment: 0.0 μB per cell

(Q)
Density functional theory data (GGA-PBE) for a geometry-optimized YAs2N2 structure.

Cell: 7.3772 7.3772 3.0914 Å, 90.00 90.00 90.00°
Positions (direct):
Y (0.0000, 0.0000, 0.0000)
As (0.6404, 0.1404, 0.0000)
As (0.1404, 0.3596, 0.0000)
N (0.7552, 0.2552, 0.5000)
N (0.7448, 0.7552, 0.5000)
As (0.3596, 0.8596, 0.0000)
N (0.2448, 0.7448, 0.5000)
Y (0.5000, 0.5000, 0.0000)
As (0.8596, 0.6404, 0.0000)
N (0.2552, 0.2448, 0.5000)

- Crystal system: tetragonal
- Total moment: 0.0 μB per cell

Which of them is the most stable? Correct choice: (Q).

(P)
Density functional theory data (GGA-PBE) for a geometry-optimized ZnAsN2 structure.

Cell: 6.1822 6.1822 6.1822 Å, 28.65 28.65 28.65°
Positions (direct):
N (0.8927, 0.8927, 0.8927)
As (0.5000, 0.5000, 0.5000)
Zn (0.0000, 0.0000, 0.0000)
N (0.1073, 0.1073, 0.1073)

- Crystal system: trigonal
- Total moment: 0.0 μB per cell

(Q)
Density functional theory data (GGA-PBE) for a geometry-optimized ZnAsN2 structure.

Cell: 4.6520 4.6520 5.8275 Å, 66.48 66.48 90.00°
Positions (direct):
N (0.1047, 0.6250, 0.2500)
N (0.8750, 0.8953, 0.7500)
N (0.3750, 0.3547, 0.7500)
Zn (0.5000, 0.5000, 0.0000)
N (0.6453, 0.1250, 0.2500)
As (0.7500, 0.2500, 0.5000)
Zn (0.2500, 0.7500, 0.5000)
As (0.0000, 0.0000, 0.0000)

- Crystal system: tetragonal
- Total moment: 0.0 μB per cell

Which of them is the most stable? Correct choice: (Q).

(P)
Density functional theory data (GGA-PBE) for a geometry-optimized ZnAsN2 structure.

Cell: 3.9392 3.9392 3.9392 Å, 60.00 60.00 60.00°
Positions (direct):
As (0.5000, 0.5000, 0.5000)
Zn (0.0000, 0.0000, 0.0000)
N (0.2500, 0.2500, 0.2500)
N (0.7500, 0.7500, 0.7500)

- Crystal system: cubic
- Total moment: 0.0 μB per cell

(Q)
Density functional theory data (GGA-PBE) for a geometry-optimized ZnAsN2 structure.

Cell: 5.9108 5.9108 5.9108 Å, 32.34 32.34 32.34°
Positions (direct):
Zn (0.5000, 0.5000, 0.5000)
N (0.1049, 0.1049, 0.1049)
As (0.0000, 0.0000, 0.0000)
N (0.8951, 0.8951, 0.8951)

- Crystal system: trigonal
- Total moment: 0.0 μB per cell

Which of them is the most stable? Correct choice: (Q).

(P)
Density functional theory data (GGA-PBE) for a geometry-optimized ZnAs3N structure.

Cell: 4.7483 4.7483 4.7483 Å, 90.00 90.00 90.00°
Positions (direct):
Zn (0.0000, 0.0000, 0.0000)
As (0.5000, 0.0000, 0.0000)
As (0.0000, 0.0000, 0.5000)
As (0.0000, 0.5000, 0.0000)
N (0.5000, 0.5000, 0.5000)

- Crystal system: cubic
- Total moment: 0.0 μB per cell

(Q)
Density functional theory data (GGA-PBE) for a geometry-optimized ZnAs3N structure.

Cell: 4.3768 4.3768 4.3768 Å, 90.00 90.00 90.00°
Positions (direct):
As (0.5000, 0.0000, 0.0000)
N (0.0000, 0.0000, 0.0000)
Zn (0.5000, 0.5000, 0.5000)
As (0.0000, 0.5000, 0.0000)
As (0.0000, 0.0000, 0.5000)

- Crystal system: cubic
- Total moment: 0.0 μB per cell

Which of them is the most stable? Correct choice: (Q).

(P)
Density functional theory data (GGA-PBE) for a geometry-optimized ZrAs3N structure.

Cell: 4.3487 4.3487 4.3487 Å, 90.00 90.00 90.00°
Positions (direct):
Zr (0.5000, 0.5000, 0.5000)
As (0.5000, 0.0000, 0.0000)
As (0.0000, 0.0000, 0.5000)
As (0.0000, 0.5000, 0.0000)
N (0.0000, 0.0000, 0.0000)

- Crystal system: cubic
- Total moment: 0.0 μB per cell

(Q)
Density functional theory data (GGA-PBE) for a geometry-optimized ZrAs3N structure.

Cell: 5.2044 5.2044 5.2044 Å, 90.00 90.00 90.00°
Each line ends with the local moment (μB).
Positions (direct):
As (0.0000, 0.0000, 0.5000)  -0.14
As (0.0000, 0.5000, 0.0000)  -0.06
Zr (0.0000, 0.0000, 0.0000)  0.03
As (0.5000, 0.0000, 0.0000)  -0.04
N (0.5000, 0.5000, 0.5000)  1.79

- Crystal system: cubic
- Total moment: 2.2 μB per cell

Which of them is the most stable? Correct choice: (P).

(P)
Density functional theory data (GGA-PBE) for a geometry-optimized Zr4AsN2 structure.

Cell: 3.4809 5.7394 11.5783 Å, 90.00 90.00 107.65°
Positions (direct):
Zr (0.0769, 0.1538, 0.2500)
Zr (0.7663, 0.5325, 0.1067)
N (0.8650, 0.7300, 0.5633)
As (0.6107, 0.2213, 0.7500)
N (0.8650, 0.7300, 0.9367)
Zr (0.2337, 0.4675, 0.6067)
Zr (0.7663, 0.5325, 0.3933)
N (0.1350, 0.2700, 0.0633)
Zr (0.9231, 0.8462, 0.7500)
Zr (0.5000, 0.0000, 0.0000)
Zr (0.2337, 0.4675, 0.8933)
Zr (0.5000, 0.0000, 0.5000)
As (0.3893, 0.7787, 0.2500)
N (0.1350, 0.2700, 0.4367)

- Crystal system: orthorhombic
- Total moment: 0.0 μB per cell

(Q)
Density functional theory data (GGA-PBE) for a geometry-optimized Zr4AsN2 structure.

Cell: 4.9890 4.9890 6.4512 Å, 67.25 67.25 90.00°
Positions (direct):
N (0.5609, 0.5609, 0.8781)
Zr (0.7475, 0.7475, 0.5051)
Zr (0.2525, 0.2525, 0.4949)
Zr (0.5000, 0.0000, 0.0000)
N (0.4391, 0.4391, 0.1219)
As (0.0000, 0.0000, 0.0000)
Zr (0.0000, 0.5000, 0.0000)

- Crystal system: tetragonal
- Total moment: 0.0 μB per cell

Which of them is the most stable? Correct choice: (P).